The following is a DFT calculation (PBE-GGA) of a relaxed structure of MnGaNi6.

Unit cell a=3.5858 b=3.5858 c=7.0987 alpha=90.00 beta=90.00 gamma=90.00
Site moments in Bohr magnetons follow the coordinates.
Atoms (fractional coordinates):
Mn: 0.0000 0.0000 0.5000  3.22
Ga: 0.0000 0.0000 0.0000  -0.03
Ni: 0.5000 0.5000 0.0000  0.33
Ni: 0.5000 0.5000 0.5000  0.51
Ni: 0.5000 0.0000 0.2508  0.42
Ni: 0.5000 0.0000 0.7492  0.42
Ni: 0.0000 0.5000 0.2508  0.42
Ni: 0.0000 0.5000 0.7492  0.42

Values from the calculation:
**Formation energy from the elements**: -0.20 eV/atom
**Uncorrected energy**: -48.45 eV per cell
**Space group**: P4/mmm, No. 123
**Excess energy over the best structure of this formula in the dataset**: 0.0 meV per atom